(1)
Compound: Sm3NpS6
Source: Alexandria
Functional: GGA-PBE
Structure: optimized geometry

* density of states at the Fermi level: 0.82 states/eV/atom
* magnetization: 8.0 μB/cell
* VASP energy: -7.048 eV per atom

abc: 4.027 11.227 11.448
angles: 108.18 90.00 90.00
Each line ends with the local moment (μB).
Fractional positions:
1 Sm 0.750 0.428 0.831  0.02
2 Np 0.250 0.954 0.313  3.85
3 S 0.250 0.891 0.541  -0.07
4 S 0.750 0.751 0.279  -0.04
5 Sm 0.750 0.681 0.505  0.02
6 Sm 0.250 0.572 0.169  0.02
7 S 0.250 0.598 0.932  0.00
8 Sm 0.250 0.840 0.919  0.02
9 S 0.250 0.082 0.897  -0.03
10 S 0.750 0.478 0.613  0.00
11 S 0.250 0.249 0.721  -0.04
12 Sm 0.250 0.319 0.495  0.02
13 Sm 0.750 0.160 0.081  0.02
14 Np 0.750 0.046 0.687  3.85
15 S 0.750 0.813 0.751  -0.02
16 S 0.250 0.187 0.249  -0.02
17 S 0.750 0.402 0.068  0.00
18 S 0.250 0.522 0.387  0.00
19 S 0.750 0.918 0.103  -0.03
20 S 0.750 0.109 0.459  -0.07

(2)
Compound: CaAgSe2O6
Source: Alexandria
Functional: GGA-PBE
Structure: optimized geometry

* density of states at the Fermi level: 0.12 states/eV/atom
* magnetization: 2.1 μB/cell
* VASP energy: -5.328 eV per atom

abc: 7.078 7.078 8.020
angles: 110.63 110.63 102.90
Each line ends with the local moment (μB).
Fractional positions:
1 Se 0.976 0.615 0.740  0.01
2 O 0.291 0.498 0.444  0.03
3 Ag 0.851 0.149 0.750  0.41
4 Ca 0.507 0.493 0.250  0.01
5 O 0.709 0.502 0.556  0.03
6 O 0.351 0.095 0.566  0.12
7 Se 0.024 0.385 0.260  0.01
8 O 0.610 0.951 0.804  0.11
9 O 0.649 0.905 0.434  0.12
10 O 0.951 0.610 0.304  0.11
11 O 0.390 0.049 0.196  0.11
12 Se 0.615 0.976 0.240  0.01
13 Se 0.385 0.024 0.760  0.01
14 O 0.498 0.291 0.944  0.03
15 O 0.905 0.649 0.934  0.12
16 O 0.049 0.390 0.696  0.11
17 Ca 0.493 0.507 0.750  0.01
18 O 0.095 0.351 0.066  0.12
19 Ag 0.149 0.851 0.250  0.41
20 O 0.502 0.709 0.056  0.03

(3)
Compound: Tb2PmHg
Source: Alexandria
Functional: GGA-PBE
Structure: optimized geometry

* density of states at the Fermi level: 1.64 states/eV/atom
* magnetization: 0.2 μB/cell
* VASP energy: -3.611 eV per atom
* formation energy: -0.03 eV/atom

abc: 5.448 5.448 5.448
angles: 60.00 60.00 60.00
Each line ends with the local moment (μB).
Fractional positions:
1 Tb 0.750 0.750 0.750  0.05
2 Pm 0.000 0.000 0.000  0.07
3 Hg 0.500 0.500 0.500  0.00
4 Tb 0.250 0.250 0.250  0.05

(4)
Compound: NaPrInSbO6
Source: Alexandria
Functional: GGA-PBE
Structure: optimized geometry

* magnetization: 0.0 μB/cell
* VASP energy: -6.142 eV per atom

abc: 5.764 5.764 5.764
angles: 60.00 60.00 60.00
Fractional positions:
1 Na 0.750 0.750 0.750
2 O 0.742 0.258 0.258
3 Sb 0.500 0.500 0.500
4 O 0.258 0.742 0.258
5 O 0.258 0.742 0.742
6 In 0.000 0.000 0.000
7 O 0.742 0.258 0.742
8 O 0.742 0.742 0.258
9 O 0.258 0.258 0.742
10 Pr 0.250 0.250 0.250